First-principles (PBE) data for crystalline SrCu3Si2 at its relaxed geometry, as listed in the Alexandria database.

Unit cell a=4.0688 b=8.3282 c=8.3220 alpha=54.96 beta=75.85 gamma=75.86
With the nearest neighbours (Å) after each atom.
Fractional coordinates of all 12 atoms:
1 Cu 0.6230 0.2187 0.5352  3 Si 2.29-2.40, 1 Cu 2.44
2 Si 0.8486 0.6512 0.6516  6 Cu 2.40-2.52
3 Sr 0.8367 0.1629 0.1638  8 Cu 3.27-3.43, 6 Si 3.29-3.33
4 Si 0.5001 0.8510 0.1488  1 Si 2.29, 4 Cu 2.29-2.46
5 Cu 0.3770 0.7813 0.4648  3 Si 2.29-2.40, 1 Cu 2.44
6 Si 0.4999 0.1490 0.8512  1 Si 2.29, 4 Cu 2.29-2.46
7 Cu 0.3767 0.4644 0.7822  3 Si 2.29-2.41, 1 Cu 2.44
8 Sr 0.1633 0.8371 0.8362  8 Cu 3.27-3.43, 6 Si 3.29-3.33
9 Cu 0.0001 0.6707 0.3291  4 Si 2.46-2.52, 5 Cu 2.62-2.69
10 Si 0.1514 0.3488 0.3484  6 Cu 2.40-2.52
11 Cu 0.6233 0.5356 0.2178  3 Si 2.29-2.41, 1 Cu 2.44
12 Cu 0.9999 0.3293 0.6709  4 Si 2.46-2.52, 5 Cu 2.62-2.69

Volume (Å³/f.u.): 111
Total DFT energy (no corrections) (eV per atom): -4.32
Spin magnetization (μB per cell): 0.0

=====

First-principles (PBE) data for crystalline Ce5PrBi3 at its relaxed geometry, as listed in the Alexandria database.

Unit cell a=6.6310 b=9.7025 c=9.7021 alpha=120.00 beta=90.00 gamma=90.00
With the nearest neighbours (Å) after each atom.
Fractional coordinates of all 18 atoms:
1 Pr 0.5000 0.0000 0.0000  2 Pr 3.32, 6 Bi 3.60, 6 Ce 3.70
2 Ce 0.7500 0.3411 0.0000  5 Bi 3.20-3.32
3 Bi 0.2500 0.3288 0.0000  5 Ce 3.20-3.32
4 Pr 0.0000 0.0000 0.0000  2 Pr 3.32, 6 Bi 3.60, 6 Ce 3.70
5 Bi 0.7500 0.3288 0.3288  5 Ce 3.20-3.32
6 Ce 0.2500 0.0000 0.6589  5 Bi 3.20-3.32
7 Ce 0.7500 0.6588 0.6589  5 Bi 3.20-3.32
8 Bi 0.2500 0.0000 0.3288  5 Ce 3.20-3.32
9 Ce 0.2500 0.3412 0.3411  5 Bi 3.20-3.32
10 Bi 0.2500 0.6712 0.6712  5 Ce 3.20-3.32
11 Ce 0.0000 0.6667 0.3333  8 Ce 3.32-3.60, 6 Bi 3.65
12 Ce 0.7500 0.0000 0.3411  5 Bi 3.20-3.32
13 Bi 0.7500 0.6712 0.0000  5 Ce 3.20-3.32
14 Ce 0.0000 0.3333 0.6667  8 Ce 3.32-3.60, 6 Bi 3.65
15 Bi 0.7500 0.0000 0.6712  5 Ce 3.20-3.32
16 Ce 0.2500 0.6589 0.0000  5 Bi 3.20-3.32
17 Ce 0.5000 0.6667 0.3333  8 Ce 3.32-3.60, 6 Bi 3.65
18 Ce 0.5000 0.3333 0.6667  8 Ce 3.32-3.60, 6 Bi 3.65

Formation energy (kJ per mole of atoms): -46
Volume (Å³/f.u.): 270
Total DFT energy (no corrections) (eV per atom): -5.60
Spin magnetization (μB per cell): 11.4

=====

First-principles (PBE) data for crystalline Sm2Dy5Ho12 at its relaxed geometry, as listed in the Alexandria database.

Unit cell a=9.1935 b=12.3163 c=8.4936 alpha=132.48 beta=90.00 gamma=111.91
With the nearest neighbours (Å) after each atom.
Fractional coordinates of all 19 atoms:
1 Ho 0.0257 0.6903 0.9339  4 Ho 3.32-3.61, 1 Sm 3.40, 4 Dy 3.46-3.69
2 Dy 0.3014 0.6027 0.6136  8 Ho 3.40-3.64, 2 Sm 3.53, 1 Dy 3.66
3 Dy 0.7684 0.5368 0.1117  10 Ho 3.36-3.75, 2 Dy 3.66-3.67
4 Ho 0.8186 0.2541 0.5974  4 Dy 3.36-3.70, 6 Ho 3.39-3.74, 1 Sm 3.57
5 Dy 0.6986 0.3973 0.3864  8 Ho 3.40-3.64, 2 Sm 3.53, 1 Dy 3.66
6 Ho 0.3354 0.3097 0.0661  4 Ho 3.32-3.61, 1 Sm 3.40, 4 Dy 3.46-3.69
7 Dy 0.0000 0.0000 0.5000  10 Ho 3.51-3.70, 2 Dy 3.67
8 Ho 0.4425 0.8850 0.2165  2 Sm 3.38, 2 Dy 3.38-3.55, 7 Ho 3.39-3.43
9 Ho 0.4355 0.2541 0.5974  4 Dy 3.36-3.70, 6 Ho 3.39-3.74, 1 Sm 3.57
10 Dy 0.2316 0.4632 0.8883  10 Ho 3.36-3.75, 2 Dy 3.66-3.67
11 Ho 0.0908 0.1815 0.2994  3 Dy 3.40-3.51, 2 Sm 3.42, 5 Ho 3.48-3.61
12 Ho 0.9092 0.8185 0.7006  3 Dy 3.40-3.51, 2 Sm 3.42, 5 Ho 3.48-3.61
13 Ho 0.1814 0.7459 0.4026  4 Dy 3.36-3.70, 6 Ho 3.39-3.74, 1 Sm 3.57
14 Sm 0.6813 0.0000 0.0000  1 Sm 3.33, 8 Ho 3.38-3.57, 2 Dy 3.53
15 Ho 0.9743 0.3097 0.0661  4 Ho 3.32-3.61, 1 Sm 3.40, 4 Dy 3.46-3.69
16 Sm 0.3187 0.0000 0.0000  1 Sm 3.33, 8 Ho 3.38-3.57, 2 Dy 3.53
17 Ho 0.5575 0.1150 0.7835  2 Sm 3.38, 2 Dy 3.38-3.55, 7 Ho 3.39-3.43
18 Ho 0.5645 0.7459 0.4026  4 Dy 3.36-3.70, 6 Ho 3.39-3.74, 1 Sm 3.57
19 Ho 0.6646 0.6903 0.9339  4 Ho 3.32-3.61, 1 Sm 3.40, 4 Dy 3.46-3.69

Formation energy (kJ per mole of atoms): 13
ΔE to the lowest computed polymorph (meV/atom): 113
Volume (Å³/f.u.): 612
Total DFT energy (no corrections) (eV per atom): -4.47
Spin magnetization (μB per cell): 0.0

=====

First-principles (PBE) data for crystalline Os2C at its relaxed geometry, as listed in the Alexandria database.

Unit cell a=5.8462 b=5.8462 c=2.8311 alpha=90.00 beta=90.00 gamma=127.01
With the nearest neighbours (Å) after each atom.
Fractional coordinates of all 6 atoms:
1 C 0.3523 0.6477 0.0000  4 Os 1.95-2.10
2 Os 0.5000 0.5000 0.5000  4 C 2.10
3 Os 0.0000 0.0000 0.0000  10 Os 2.75-2.97, 4 C 3.03
4 Os 0.7752 0.2248 0.5000  2 C 1.95
5 C 0.6477 0.3523 0.0000  4 Os 1.95-2.10
6 Os 0.2248 0.7752 0.5000  2 C 1.95

Formation energy (kJ per mole of atoms): 112
ΔE to the lowest computed polymorph (meV/atom): 657
Volume (Å³/f.u.): 39
Total DFT energy (no corrections) (eV per atom): -9.40
Spin magnetization (μB per cell): 0.0

=====

First-principles (PBE) data for crystalline La4TlRu2 at its relaxed geometry, as listed in the Alexandria database.

Unit cell a=7.3250 b=7.2382 c=8.8792 alpha=107.91 beta=105.19 gamma=105.67
With the nearest neighbours (Å) after each atom.
Fractional coordinates of all 14 atoms:
1 La 0.4729 0.1267 0.9311  2 Ru 2.78-2.98
2 La 0.9709 0.6026 0.7532  1 Ru 2.54
3 Ru 0.5248 0.8842 0.1457  3 La 2.56-2.85
4 Ru 0.7929 0.3543 0.8659  3 La 2.54-2.82
5 Ru 0.1110 0.2338 0.7122  1 La 2.49
6 La 0.4229 0.5114 0.7413  1 Ru 2.49
7 Ru 0.6874 0.5080 0.3589  3 La 2.64-2.88
8 Tl 0.1677 0.8441 0.5190  2 Ru 3.02-3.31, 2 La 3.29-3.35
9 Tl 0.9646 0.0656 0.9605  2 Ru 2.93-3.11, 1 La 3.27
10 La 0.7120 0.9212 0.5508  2 Ru 2.82-2.88
11 La 0.2890 0.5548 0.1507  1 Ru 2.56
12 La 0.9130 0.2799 0.3322  1 Ru 2.64
13 La 0.8265 0.7058 0.1380  3 Ru 2.82-2.99
14 La 0.3944 0.1577 0.3407  2 Ru 2.76-2.77

Formation energy (kJ per mole of atoms): -25
Volume (Å³/f.u.): 200
Total DFT energy (no corrections) (eV per atom): -6.07
Spin magnetization (μB per cell): 0.0

=====

First-principles (PBE) data for crystalline Li2Y3Zn7 at its relaxed geometry, as listed in the Alexandria database.

Unit cell a=5.4175 b=5.4175 c=9.2354 alpha=72.94 beta=72.94 gamma=60.00
With the nearest neighbours (Å) after each atom.
Fractional coordinates of all 12 atoms:
1 Zn 0.9211 0.4172 0.2444  2 Li 2.62-2.65, 5 Zn 2.69-2.73
2 Y 0.1364 0.1364 0.5907  12 Zn 3.06-3.39
3 Zn 0.4172 0.4172 0.2444  2 Li 2.62-2.65, 5 Zn 2.69-2.73
4 Y 0.0000 0.0000 0.0000  6 Li 3.13, 12 Zn 3.44
5 Zn 0.4172 0.9211 0.2444  2 Li 2.62-2.65, 5 Zn 2.69-2.73
6 Zn 0.5828 0.5828 0.7556  2 Li 2.62-2.65, 5 Zn 2.69-2.73
7 Y 0.8636 0.8636 0.4093  12 Zn 3.06-3.39
8 Li 0.6670 0.6670 0.9991  6 Zn 2.62-2.65
9 Li 0.3330 0.3330 0.0009  6 Zn 2.62-2.65
10 Zn 0.5828 0.0789 0.7556  2 Li 2.62-2.65, 5 Zn 2.69-2.73
11 Zn 0.5000 0.5000 0.5000  6 Zn 2.72
12 Zn 0.0789 0.5828 0.7556  2 Li 2.62-2.65, 5 Zn 2.69-2.73

Formation energy (kJ per mole of atoms): -28
Volume (Å³/f.u.): 221
Total DFT energy (no corrections) (eV per atom): -2.97
Spin magnetization (μB per cell): 0.0

=====

Which value of total DFT energy (no corrections) does entry 5 give? -6.07 eV per atom